1.
This record from Alexandria via LeMat-Bulk describes a PBEsol-optimized structure of AsC2I. The functional is SCAN.

```
AsC2I
1.0
5.5685 0.0000 0.0000
-2.7842 4.8481 0.0509
0.0000 3.1497 4.5921
I As C
2 2 4
Cartesian
2.7842 4.7863 3.4696
0.0000 0.0000 0.0000
0.0000 3.2115 1.1735
2.7842 1.5748 2.2961
0.9451 4.8172 1.7602
-0.9451 6.3921 4.0563
4.1764 2.9277 2.5142
1.3921 1.8586 0.9554
```

**Symmetry**: I-42d (122)
**Final energy**: -17.39 eV per atom
**Calculated volume**: 15.4 Å³/atom


2.
This record from Alexandria via LeMat-Bulk describes a PBEsol-optimized structure of MgSiSe2. The functional is SCAN.

```
MgSiSe2
1.0
3.9502 0.0000 0.0000
-1.9751 2.9047 0.0000
0.0000 0.0000 7.0764
Si Mg Se
1 1 2
Cartesian
1.9751 0.0000 3.5382
1.9751 0.0000 0.0000
0.0000 0.0000 5.3084
0.0000 0.0000 1.7681
```

**Symmetry**: Cmmm (65)
**Final energy**: -13.92 eV per atom
**Calculated volume**: 20.3 Å³/atom


3.
This record from Alexandria via LeMat-Bulk describes a PBEsol-optimized structure of SrMnTe2. The functional is SCAN.

```
SrMnTe2
1.0
-3.7307 0.6414 2.1451
-1.6421 -3.1589 2.5013
1.8748 1.7017 7.1642
Sr Te Mn
1 2 1
Cartesian
0.0000 0.0000 0.0000
-0.7256 -0.1007 3.1807
-2.7724 -0.7150 8.6298
-1.7490 -0.4079 5.9053
```

**ΔE to the lowest computed polymorph**: 0.00 kcal/mol of atoms
**Symmetry**: R-3m (166)
**Calculated volume**: 29.4 Å³/atom


4.
This record from Alexandria via LeMat-Bulk describes a PBEsol-optimized structure of Sc2TlTe. The functional is SCAN.

```
Sc2TlTe
1.0
-3.3736 0.3106 1.6028
-1.9722 -1.2082 -3.9171
2.9054 -4.8401 2.6714
Sc Te Tl
2 1 1
Cartesian
0.0082 -0.1858 0.0532
-1.5615 -2.6949 1.6174
0.2225 -5.0625 1.4494
-0.8771 -3.0834 -1.2487
```

**ΔE to the lowest computed polymorph**: 4.19 kcal/mol of atoms
**Symmetry**: Imm2 (44)
**Calculated volume**: 23.5 Å³/atom


5.
This record from Alexandria via LeMat-Bulk describes a PBEsol-optimized structure of Cs2GaAu. The functional is SCAN.

```
Cs2GaAu
1.0
-1.1573 1.8348 4.3424
-8.9066 -3.4737 1.8072
3.2120 -6.6194 6.3660
Cs Au Ga
4 2 2
Cartesian
-7.1896 -3.4435 6.9999
-0.5301 -3.4386 8.7726
-3.9034 -7.0898 8.0599
-3.2377 -0.7098 5.5415
0.0000 0.0000 0.0000
-3.7152 -3.6704 7.3435
-0.5786 0.9174 2.1712
-3.1366 -4.5878 5.1722
```

**Symmetry**: I-42d (122)
**DFT formation energy**: -0.243 eV/atom
**Calculated volume**: 53.9 Å³/atom


6.
This record from Alexandria via LeMat-Bulk describes a PBEsol-optimized structure of ReSeBr2. The functional is SCAN.

```
ReSeBr2
1.0
3.0229 0.0000 0.0000
0.0000 3.0229 0.0000
0.0000 0.0000 9.2315
Br Re Se
2 1 1
Cartesian
0.0000 0.0000 9.2090
1.5114 1.5114 2.9692
0.0000 0.0000 4.7240
1.5114 1.5114 6.1765
```

**ΔE to the lowest computed polymorph**: 0.00 kcal/mol of atoms
**Symmetry**: P4mm (99)
**Calculated volume**: 21.1 Å³/atom


7.
This record from Alexandria via LeMat-Bulk describes a PBEsol-optimized structure of LaP2Os. The functional is SCAN.

```
LaP2Os
1.0
-0.6502 -2.4143 -3.9274
-2.1171 -4.1443 0.1385
-4.2861 -0.4842 -1.7524
La Os P
1 1 2
Cartesian
-3.5267 -3.5214 -2.7706
-5.2900 -5.2821 -4.1560
0.0000 0.0000 0.0000
-1.7633 -1.7607 -1.3853
```

**ΔE to the lowest computed polymorph**: 26.37 kcal/mol of atoms
**Symmetry**: F-43m (216)
**DFT formation energy**: 0.447 eV/atom
**Calculated volume**: 17.8 Å³/atom


8.
This record from Alexandria via LeMat-Bulk describes a PBEsol-optimized structure of Ba2Ag. The functional is SCAN.

```
Ba2Ag
1.0
-0.6235 -4.3260 0.9153
-0.5129 -3.6700 -6.8018
7.3203 -3.5939 -1.1067
Ba Ag
4 2
Cartesian
3.3580 -8.4784 -5.1051
0.1146 -5.5773 -4.4957
6.0693 -6.0127 -2.4976
2.8259 -3.1115 -1.8881
5.4992 -6.9412 -7.2744
0.6848 -4.6488 0.2812
```

**ΔE to the lowest computed polymorph**: 0.15 kcal/mol of atoms
**Symmetry**: C2/m (12)
**DFT formation energy**: -0.173 eV/atom
**Calculated volume**: 42.8 Å³/atom